Record 1
A relaxed structure of BHPd2, computed with PBEsol.

Unit cell a=5.122 b=5.122 c=5.122 alpha=125.04 beta=125.04 gamma=81.47
Fractional coordinates of all 8 atoms:
B1 0.000 0.000 0.000
B2 0.750 0.250 0.500
H1 0.250 0.750 0.500
H2 0.500 0.500 0.000
Pd1 0.157 0.625 0.032
Pd2 0.375 0.407 0.532
Pd3 0.593 0.125 0.968
Pd4 0.875 0.843 0.468

For the magnetization, the calculation gives 0.00 Bohr magnetons per cell. The total energy is -43.77 eV per cell.


Record 2
A relaxed structure of Y2C, computed with PBEsol.

Unit cell a=3.542 b=3.542 c=12.476 alpha=90.00 beta=90.00 gamma=120.00
Fractional coordinates of all 6 atoms:
Y1 0.333 0.667 0.107
Y2 0.333 0.667 0.393
Y3 0.667 0.333 0.607
Y4 0.667 0.333 0.893
C1 0.000 0.000 0.000
C2 0.000 0.000 0.500

For the magnetization, the calculation gives 0.97 Bohr magnetons per cell. The value obtained for the formation energy is -296 meV per atom. The total energy is -48.35 eV per cell.


Record 3
A relaxed structure of Al2Sb, computed with PBEsol.

Unit cell a=8.917 b=8.917 c=4.407 alpha=90.00 beta=90.00 gamma=158.96
Fractional coordinates of all 6 atoms:
Al1 0.045 0.955 0.750
Al2 0.416 0.584 0.750
Al3 0.584 0.416 0.250
Al4 0.955 0.045 0.250
Sb1 0.312 0.688 0.250
Sb2 0.688 0.312 0.750

For the magnetization, the calculation gives 0.00 Bohr magnetons per cell. The total energy is -24.64 eV per cell. For the energy relative to the elements, uncorrected, the calculation gives 140.4 meV/atom.


Record 4
A relaxed structure of KRb3Sb, computed with PBEsol.

Unit cell a=6.750 b=6.750 c=6.750 alpha=90.00 beta=90.00 gamma=90.00
Fractional coordinates of all 5 atoms:
K1 0.000 0.000 0.000
Rb1 0.000 0.000 0.500
Rb2 0.000 0.500 0.000
Rb3 0.500 0.000 0.000
Sb1 0.500 0.500 0.500

For the magnetization, the calculation gives 0.00 Bohr magnetons per cell. The total energy is -6.39 eV per cell. For the energy relative to the elements, uncorrected, the calculation gives 475.8 meV/atom.


Record 5
A relaxed structure of MgB3As, computed with PBEsol.

Unit cell a=4.140 b=4.140 c=4.140 alpha=90.00 beta=90.00 gamma=90.00
Fractional coordinates of all 5 atoms:
Mg1 0.000 0.000 0.000
B1 0.000 0.500 0.500
B2 0.500 0.000 0.500
B3 0.500 0.500 0.000
As1 0.500 0.500 0.500

For the magnetization, the calculation gives 0.00 Bohr magnetons per cell. The value obtained for the formation energy is 1618 meV per atom. The total energy is -19.78 eV per cell.


Record 6
A relaxed structure of Ge2BI, computed with PBEsol.

Unit cell a=4.773 b=4.773 c=4.773 alpha=60.00 beta=60.00 gamma=60.00
Fractional coordinates of all 4 atoms:
Ge1 0.250 0.250 0.250
Ge2 0.750 0.750 0.750
B1 0.000 0.000 0.000
I1 0.500 0.500 0.500

For the magnetization, the calculation gives 0.00 Bohr magnetons per cell. The total energy is -13.46 eV per cell. For the energy relative to the elements, uncorrected, the calculation gives 1300.4 meV/atom.


Record 7
A relaxed structure of TiZnSb2Te, computed with PBEsol.

Unit cell a=5.037 b=5.037 c=5.270 alpha=90.00 beta=90.00 gamma=90.00
Fractional coordinates of all 5 atoms:
Ti1 0.000 0.000 0.000
Zn1 0.500 0.500 0.500
Sb1 0.000 0.500 0.500
Sb2 0.500 0.000 0.500
Te1 0.500 0.500 0.000

For the magnetization, the calculation gives 2.07 Bohr magnetons per cell. The total energy is -18.95 eV per cell. For the energy relative to the elements, uncorrected, the calculation gives 718.8 meV/atom.


Record 8
A relaxed structure of LiMgCd, computed with PBEsol.

Unit cell a=5.598 b=5.598 c=4.730 alpha=90.00 beta=90.00 gamma=130.05
Fractional coordinates of all 6 atoms:
Li1 0.075 0.925 0.750
Li2 0.925 0.075 0.250
Mg1 0.253 0.747 0.250
Mg2 0.747 0.253 0.750
Cd1 0.420 0.580 0.750
Cd2 0.580 0.420 0.250

For the magnetization, the calculation gives 0.00 Bohr magnetons per cell. The value obtained for the formation energy is -206 meV per atom. The total energy is -11.00 eV per cell. The value obtained for the offset from the most stable computed form is 0.000 eV/atom.


Record 9
A relaxed structure of CuTe2HI, computed with PBEsol.

Unit cell a=4.183 b=4.183 c=7.407 alpha=90.00 beta=90.00 gamma=90.00
Fractional coordinates of all 5 atoms:
Cu1 0.000 0.000 0.000
Te1 0.000 0.500 0.500
Te2 0.500 0.000 0.500
H1 0.500 0.500 0.500
I1 0.500 0.500 0.000

For the magnetization, the calculation gives 0.00 Bohr magnetons per cell. The total energy is -13.82 eV per cell.


Record 10
A relaxed structure of InGeW2N, computed with PBEsol.

Unit cell a=5.018 b=5.018 c=3.802 alpha=90.00 beta=90.00 gamma=90.00
Fractional coordinates of all 5 atoms:
In1 0.000 0.000 0.000
Ge1 0.500 0.500 0.500
W1 0.000 0.500 0.000
W2 0.500 0.000 0.000
N1 0.000 0.000 0.500

For the magnetization, the calculation gives 1.16 Bohr magnetons per cell. The total energy is -30.40 eV per cell. For the energy relative to the elements, uncorrected, the calculation gives 2732.6 meV/atom.


Record 11
A relaxed structure of ScHg2Br, computed with PBEsol.

Unit cell a=5.108 b=5.108 c=5.108 alpha=60.00 beta=60.00 gamma=60.00
Fractional coordinates of all 4 atoms:
Sc1 0.000 0.000 0.000
Hg1 0.250 0.250 0.250
Hg2 0.750 0.750 0.750
Br1 0.500 0.500 0.500

For the magnetization, the calculation gives 0.01 Bohr magnetons per cell. The total energy is -9.83 eV per cell. The value obtained for the offset from the most stable computed form is 0.329 eV/atom. For the energy relative to the elements, uncorrected, the calculation gives -54.4 meV/atom.


Question: What is the formula in the tenth record?
Answer: InGeW2N